(1)
Below is crystalline CaTaSi2 at its relaxed geometry, with properties calculated at the GGA-PBE level.

```
CaTaSi2
1.0
3.755 0.000 0.000
0.000 3.777 0.161
0.000 1.669 5.202
Ca Si Ta
1 2 1
direct
0.500 0.776 0.823
0.500 0.043 0.290
0.000 0.191 0.993
0.000 0.491 0.394
```

Output
polymorph energy (0 for the lowest one)	11	meV/atom
symmetry	No. 38
magnetic moment	0.00	μB/f.u.
V	72.8	Å³/f.u.
formation energy without anion corrections	-0.241	eV/atom


(2)
Below is crystalline Sm2As4Ir3Pt at its relaxed geometry, with properties calculated at the GGA-PBE level.

```
Sm2As4Ir3Pt
1.0
-4.061 -1.597 -0.170
1.605 -4.052 -0.280
-0.125 -0.727 9.816
Sm As Pt Ir
2 4 1 3
direct
0.500 0.000 0.246
0.000 0.500 0.754
0.000 0.500 0.362
0.000 0.000 0.000
0.500 0.000 0.638
0.500 0.500 0.000
0.500 0.500 0.500
0.500 0.000 0.883
0.000 0.000 0.500
0.000 0.500 0.117
```

Output
symmetry	No. 115
magnetic moment	0.00	μB/f.u.
energy of formation	-0.742	eV/atom
V	187.7	Å³/f.u.


(3)
Below is crystalline AcEr5Zn6 at its relaxed geometry, with properties calculated at the GGA-PBE level.

```
AcEr5Zn6
1.0
-5.007 -0.197 0.812
0.648 -6.798 2.344
3.234 6.054 5.543
Er Zn Ac
5 6 1
direct
0.330 0.330 0.661
0.665 0.165 0.329
0.000 0.500 0.000
0.335 0.835 0.671
0.670 0.670 0.339
0.500 0.279 0.000
0.174 0.440 0.347
0.500 0.721 0.000
0.174 0.908 0.347
0.826 0.092 0.653
0.826 0.560 0.653
0.000 0.000 0.000
```

Output
symmetry	No. 71
magnetic moment	0.00	μB/f.u.
energy of formation	-0.296	eV/atom
V	279.9	Å³/f.u.


(4)
Below is crystalline HgOs2 at its relaxed geometry, with properties calculated at the GGA-PBE level.

```
HgOs2
1.0
1.920 -6.462 0.000
1.920 6.462 0.000
0.000 0.000 4.000
Os Hg
4 2
direct
0.252 0.748 0.750
0.609 0.391 0.750
0.748 0.252 0.250
0.391 0.609 0.250
0.921 0.079 0.750
0.079 0.921 0.250
```

Output
polymorph energy (0 for the lowest one)	478	meV/atom
symmetry	No. 63
magnetic moment	0.00	μB/f.u.
energy of formation	0.873	eV/atom
V	49.6	Å³/f.u.


(5)
Below is crystalline TlRhN2O at its relaxed geometry, with properties calculated at the GGA-PBE level.

```
TlRhN2O
1.0
4.272 0.000 0.000
0.000 4.272 0.000
0.000 0.000 4.151
O N Tl Rh
1 2 1 1
direct
0.000 0.000 0.500
0.500 0.000 0.000
0.000 0.500 0.000
0.000 0.000 0.000
0.500 0.500 0.500
```

Output
symmetry	No. 123
magnetic moment	1.07	μB/f.u.
V	75.8	Å³/f.u.
formation energy without anion corrections	2.228	eV/atom


(6)
Below is crystalline Ir3Os3Ru2 at its relaxed geometry, with properties calculated at the GGA-PBE level.

```
Ir3Os3Ru2
1.0
-1.256 1.448 1.929
-5.160 1.637 -4.588
-0.542 -5.824 4.018
Ir Os Ru
3 3 2
direct
0.500 0.000 0.374
0.500 0.374 0.000
0.500 0.626 0.626
0.000 0.256 0.256
0.000 0.744 0.000
0.000 0.000 0.744
0.000 0.333 0.667
0.000 0.667 0.333
```

Output
symmetry	No. 189
magnetic moment	0.00	μB/f.u.
energy of formation	0.333	eV/atom
V	118.6	Å³/f.u.


| no. | DOS at the Fermi energy (states/eV per atom) |
| --- | --- |
| 1 | 0.522 |
| 2 | 0.724 |
| 3 | 1.116 |
| 4 | 0.881 |
| 5 | 1.644 |
| 6 | 0.902 |